Density functional theory data (PBE+U) for Mn2ZnIO6 after structural relaxation.

a = 5.963 Å, b = 5.391 Å, c = 5.461 Å
α = 66.12°, β = 59.48°, γ = 59.73°
Element x y z (fractional)
I (0.327, 0.291, 0.030)
O (0.868, 0.638, 0.304)
O (0.224, 0.953, 0.225)
Mn (0.991, 0.996, 0.987)
Mn (0.523, 0.579, 0.397)
O (0.702, 0.059, 0.792)
O (0.376, 0.709, 0.750)
O (0.211, 0.370, 0.724)
O (0.675, 0.387, 0.095)
Zn (0.764, 0.680, 0.711)

Summary:
The space group is No. 1. For the energy, the calculation gives -5.796 eV per atom.